Entry 1:
Density functional theory data (PBE-GGA) for an optimized crystal structure of Ce3MgSi6Ni2.

Summary:
Crystal system = trigonal
Energy relative to the elements, uncorrected = -0.30 eV/atom
Space group = P-3m1 (164)
Energy = -0.2055 Ha/atom

Cell lengths 5.882, 5.882, 7.863 Å; angles 90.00, 90.00, 120.00 degrees
Each line ends with the local moment (μB).
Sites, in units of the cell vectors:
Ce 0.333 0.667 0.633  0.27
Ce 0.667 0.333 0.367  0.27
Ce 0.000 0.000 0.000  0.54
Mg 0.000 0.000 0.500  0.00
Si 0.607 0.804 0.281  0.00
Si 0.196 0.393 0.281  0.00
Si 0.196 0.804 0.281  0.00
Si 0.804 0.607 0.719  0.00
Si 0.393 0.196 0.719  0.00
Si 0.804 0.196 0.719  0.00
Ni 0.667 0.333 0.954  -0.01
Ni 0.333 0.667 0.046  -0.01

=====

Entry 2:
Density functional theory data (PBE-GGA) for an optimized crystal structure of YGaHgPd.

Summary:
Crystal system = cubic
Formation enthalpy at 0 K = -2.1 eV per formula unit
Space group = F-43m (216)
Energy = -0.1569 Ha/atom

Cell lengths 4.858, 4.858, 4.858 Å; angles 60.00, 60.00, 60.00 degrees
Sites, in units of the cell vectors:
Y 0.250 0.250 0.250
Ga 0.750 0.750 0.750
Hg 0.500 0.500 0.500
Pd 0.000 0.000 0.000

=====

Entry 3:
Density functional theory data (PBE-GGA) for an optimized crystal structure of Pu2HfTh.

Summary:
Crystal system = tetragonal
Formation enthalpy at 0 K = 0.8 eV per formula unit
Space group = P4/mmm (123)
Energy = -0.4156 Ha/atom

Cell lengths 3.322, 3.322, 9.402 Å; angles 90.00, 90.00, 90.00 degrees
Each line ends with the local moment (μB).
Sites, in units of the cell vectors:
Hf 0.500 0.500 0.000  -0.01
Th 0.500 0.500 0.500  -0.02
Pu 0.000 0.000 0.764  5.13
Pu 0.000 0.000 0.236  5.13

=====

Entry 4:
Density functional theory data (PBE-GGA) for an optimized crystal structure of SmSi2AgPd5.

Summary:
Crystal system = tetragonal
Energy relative to the elements, uncorrected = -0.59 eV/atom
Space group = P4/mmm (123)
Energy = -0.2030 Ha/atom

Cell lengths 4.131, 4.131, 9.052 Å; angles 90.00, 90.00, 90.00 degrees
Sites, in units of the cell vectors:
Sm 0.000 0.000 0.500
Si 0.500 0.500 0.127
Si 0.500 0.500 0.873
Ag 0.000 0.000 0.000
Pd 0.000 0.500 0.259
Pd 0.500 0.000 0.259
Pd 0.000 0.500 0.741
Pd 0.500 0.000 0.741
Pd 0.500 0.500 0.500

=====

Entry 5:
Density functional theory data (PBE-GGA) for an optimized crystal structure of Pr4Ho3Er4.

Summary:
Crystal system = orthorhombic
Formation enthalpy at 0 K = 1.7 eV per formula unit
Space group = Amm2 (38)
Energy = -0.1651 Ha/atom

Cell lengths 5.685, 6.653, 10.699 Å; angles 90.00, 90.00, 115.29 degrees
Sites, in units of the cell vectors:
Pr 0.756 0.512 0.792
Pr 0.756 0.512 0.208
Pr 0.880 0.761 0.500
Pr 0.960 0.921 0.000
Ho 0.412 0.824 0.286
Ho 0.412 0.824 0.714
Ho 0.254 0.508 0.000
Er 0.607 0.214 0.500
Er 0.553 0.106 0.000
Er 0.104 0.208 0.696
Er 0.104 0.208 0.304

=====

Entry 6:
Density functional theory data (PBE-GGA) for an optimized crystal structure of Sr2CdPb8.

Summary:
Crystal system = tetragonal
Formation enthalpy at 0 K = -2.4 eV per formula unit
Space group = P4/mmm (123)
Energy = -0.1214 Ha/atom

Cell lengths 5.155, 5.155, 13.313 Å; angles 90.00, 90.00, 90.00 degrees
Sites, in units of the cell vectors:
Sr 0.000 0.000 0.319
Sr 0.000 0.000 0.681
Cd 0.000 0.000 0.000
Pb 0.000 0.500 0.500
Pb 0.500 0.000 0.500
Pb 0.500 0.500 0.311
Pb 0.500 0.500 0.689
Pb 0.000 0.500 0.132
Pb 0.500 0.000 0.132
Pb 0.000 0.500 0.868
Pb 0.500 0.000 0.868

=====

Entry 7:
Density functional theory data (PBE-GGA) for an optimized crystal structure of CrBi.

Summary:
Crystal system = tetragonal
Formation enthalpy at 0 K = 1.0 eV per formula unit
Space group = P4/m (83)
Energy = -0.2302 Ha/atom

Cell lengths 9.701, 9.701, 4.216 Å; angles 90.00, 90.00, 90.00 degrees
Sites, in units of the cell vectors:
Cr 0.920 0.571 0.500
Cr 0.080 0.429 0.500
Cr 0.429 0.920 0.500
Cr 0.571 0.080 0.500
Cr 0.902 0.454 0.000
Cr 0.098 0.546 0.000
Cr 0.546 0.902 0.000
Cr 0.454 0.098 0.000
Bi 0.711 0.378 0.500
Bi 0.289 0.622 0.500
Bi 0.622 0.711 0.500
Bi 0.378 0.289 0.500
Bi 0.889 0.765 0.000
Bi 0.111 0.235 0.000
Bi 0.235 0.889 0.000
Bi 0.765 0.111 0.000

=====

Entry 8:
Density functional theory data (PBE-GGA) for an optimized crystal structure of La3SbPbI.

Summary:
Crystal system = monoclinic
Energy relative to the elements, uncorrected = -0.97 eV/atom
Space group = P2_1/m (11)
Energy = -0.1837 Ha/atom

Cell lengths 4.535, 8.102, 12.180 Å; angles 102.57, 90.00, 90.00 degrees
Sites, in units of the cell vectors:
La 0.250 0.707 0.509
La 0.750 0.058 0.152
La 0.750 0.539 0.162
La 0.750 0.293 0.491
La 0.250 0.461 0.838
La 0.250 0.942 0.848
Sb 0.250 0.766 0.064
Sb 0.750 0.234 0.936
Pb 0.750 0.649 0.695
Pb 0.250 0.351 0.305
I 0.250 0.124 0.630
I 0.750 0.876 0.370

=====

| no. | N(E_F) (states/eV per cell) |
| --- | --- |
| 1 | 13.98 |
| 2 | 1.86 |
| 3 | 12.85 |
| 4 | 3.37 |
| 5 | 16.72 |
| 6 | 3.96 |
| 7 | 14.34 |
| 8 | 8.34 |